VASP calculation (PBE-GGA) on an optimized crystal structure of MoSeCl2.

Structure (CIF):
```
data_MoSeCl2
_space_group_name_H-M_alt 'P 1 m 1'
_space_group_IT_number 6
_cell_length_a 6.6474
_cell_length_b 3.2080
_cell_length_c 6.6583
_cell_angle_alpha 90.00
_cell_angle_beta 118.14
_cell_angle_gamma 90.00
loop_
_space_group_symop_operation_xyz
'x,y,z'
'x,-y,z'
loop_
_atom_site_label
_atom_site_fract_x
_atom_site_fract_y
_atom_site_fract_z
_atom_site_occupancy
Mo1 0.0000 0.0000 0.0000 1
Se1 0.0247 0.5000 0.7382 1
Cl1 0.3451 0.0000 0.3117 1
Cl2 0.7225 0.5000 0.9944 1
```

* E above lowest polymorph: 0 meV/atom

***

VASP calculation (PBE-GGA) on an optimized crystal structure of KCdMo2.

Structure (CIF):
```
data_KCdMo2
_space_group_name_H-M_alt 'P 1 2/m 1'
_space_group_IT_number 10
_cell_length_a 2.8139
_cell_length_b 4.9804
_cell_length_c 7.2774
_cell_angle_alpha 90.00
_cell_angle_beta 98.17
_cell_angle_gamma 90.00
loop_
_space_group_symop_operation_xyz
'x,y,z'
'-x,-y,-z'
'-x,y,-z'
'x,-y,z'
loop_
_atom_site_label
_atom_site_fract_x
_atom_site_fract_y
_atom_site_fract_z
_atom_site_occupancy
K1 0.0000 0.0000 0.0000 1
Cd1 0.5000 0.0000 0.5000 1
Mo1 0.1477 0.5000 0.6505 1
```

* formation energy from the elements: 934 meV per atom

***

VASP calculation (PBE-GGA) on an optimized crystal structure of Zn2MoHPt.

Structure (CIF):
```
data_Zn2MoHPt
_space_group_name_H-M_alt 'P 4/m m m'
_space_group_IT_number 123
_space_group_name_Hall '-P 4 2'
_cell_length_a 4.1003
_cell_length_b 4.1003
_cell_length_c 3.7022
_cell_angle_alpha 90.00
_cell_angle_beta 90.00
_cell_angle_gamma 90.00
loop_
_atom_site_label
_atom_site_fract_x
_atom_site_fract_y
_atom_site_fract_z
_atom_site_occupancy
Zn1 0.0000 0.5000 0.0000 1
Mo1 0.0000 0.0000 0.5000 1
H1 0.0000 0.0000 0.0000 1
Pt1 0.5000 0.5000 0.5000 1
```

***

VASP calculation (PBE-GGA) on an optimized crystal structure of Ca2CdHg6.

Structure (CIF):
```
data_Ca2CdHg6
_space_group_name_H-M_alt 'I m m m'
_space_group_IT_number 71
_space_group_name_Hall '-I 2 2'
_cell_length_a 3.9116
_cell_length_b 7.8958
_cell_length_c 15.9497
_cell_angle_alpha 90.00
_cell_angle_beta 90.00
_cell_angle_gamma 90.00
loop_
_atom_site_label
_atom_site_fract_x
_atom_site_fract_y
_atom_site_fract_z
_atom_site_occupancy
Ca1 0.0000 0.0000 0.1298 1
Cd1 0.0000 0.5000 0.0000 1
Hg1 0.0000 0.1834 0.3197 1
Hg2 0.0000 0.2934 0.5000 1
```

* formation energy from the elements: -271 meV per atom
* E above lowest polymorph: 20 meV/atom

***

VASP calculation (PBE-GGA) on an optimized crystal structure of PmErPtRh.

Structure (CIF):
```
data_PmErPtRh
_space_group_name_H-M_alt 'A m m 2'
_space_group_IT_number 38
_cell_length_a 4.3822
_cell_length_b 3.8235
_cell_length_c 10.6395
_cell_angle_alpha 90.00
_cell_angle_beta 90.00
_cell_angle_gamma 90.00
loop_
_space_group_symop_operation_xyz
'x,y,z'
'-x,-y,z'
'-x,y,z'
'x,-y,z'
'x,y+1/2,z+1/2'
'-x,-y+1/2,z+1/2'
'-x,y+1/2,z+1/2'
'x,-y+1/2,z+1/2'
loop_
_atom_site_label
_atom_site_fract_x
_atom_site_fract_y
_atom_site_fract_z
_atom_site_occupancy
Pm1 0.0000 0.0000 0.0000 1
Er1 0.5000 0.0000 0.2820 1
Pt1 0.5000 0.0000 0.5615 1
Rh1 0.0000 0.0000 0.7353 1
```

* formation energy from the elements: -1014 meV per atom
* E above lowest polymorph: 0 meV/atom

***

VASP calculation (PBE-GGA) on an optimized crystal structure of AlVAg2.

Structure (CIF):
```
data_AlVAg2
_space_group_name_H-M_alt 'R -3 m'
_space_group_IT_number 166
_space_group_name_Hall '-R 3 2"'
_cell_length_a 2.7766
_cell_length_b 2.7766
_cell_length_c 30.3691
_cell_angle_alpha 90.00
_cell_angle_beta 90.00
_cell_angle_gamma 120.00
loop_
_atom_site_label
_atom_site_fract_x
_atom_site_fract_y
_atom_site_fract_z
_atom_site_occupancy
Al1 0.0000 0.0000 0.0000 1
V1 0.0000 0.0000 0.5000 1
Ag1 0.0000 0.0000 0.4113 1
```

* formation energy from the elements: 399 meV per atom

***

VASP calculation (PBE-GGA) on an optimized crystal structure of YAlRh2.

Structure (CIF):
```
data_YAlRh2
_space_group_name_H-M_alt 'P 4 m m'
_space_group_IT_number 99
_cell_length_a 3.5405
_cell_length_b 3.5405
_cell_length_c 5.7025
_cell_angle_alpha 90.00
_cell_angle_beta 90.00
_cell_angle_gamma 90.00
loop_
_space_group_symop_operation_xyz
'x,y,z'
'-y,x,z'
'-x,-y,z'
'y,-x,z'
'-x,y,z'
'y,x,z'
'x,-y,z'
'-y,-x,z'
loop_
_atom_site_label
_atom_site_fract_x
_atom_site_fract_y
_atom_site_fract_z
_atom_site_occupancy
Y1 0.0000 0.0000 0.0000 1
Al1 0.5000 0.5000 0.3461 1
Rh1 0.0000 0.0000 0.4786 1
Rh2 0.5000 0.5000 0.7923 1
```

* formation energy from the elements: -578 meV per atom

***

VASP calculation (PBE-GGA) on an optimized crystal structure of Pm2CdHg6.

Structure (CIF):
```
data_Pm2CdHg6
_space_group_name_H-M_alt 'C 1 2/m 1'
_space_group_IT_number 12
_cell_length_a 8.5453
_cell_length_b 8.8262
_cell_length_c 6.0248
_cell_angle_alpha 90.00
_cell_angle_beta 92.46
_cell_angle_gamma 90.00
loop_
_space_group_symop_operation_xyz
'x,y,z'
'-x,-y,-z'
'-x,y,-z'
'x,-y,z'
'x+1/2,y+1/2,z'
'-x+1/2,-y+1/2,-z'
'-x+1/2,y+1/2,-z'
'x+1/2,-y+1/2,z'
loop_
_atom_site_label
_atom_site_fract_x
_atom_site_fract_y
_atom_site_fract_z
_atom_site_occupancy
Pm1 0.1747 0.0000 0.1788 1
Cd1 0.0000 0.5000 0.5000 1
Hg1 0.0000 0.3352 0.0000 1
Hg2 0.1678 0.1663 0.6688 1
```

* formation energy from the elements: -279 meV per atom
* E above lowest polymorph: 46 meV/atom

***

VASP calculation (PBE-GGA) on an optimized crystal structure of Ce2HoFe2N6.

Structure (CIF):
```
data_Ce2HoFe2N6
_space_group_name_H-M_alt 'R -3 m'
_space_group_IT_number 166
_space_group_name_Hall '-R 3 2"'
_cell_length_a 5.5313
_cell_length_b 5.5313
_cell_length_c 17.7042
_cell_angle_alpha 90.00
_cell_angle_beta 90.00
_cell_angle_gamma 120.00
loop_
_atom_site_label
_atom_site_fract_x
_atom_site_fract_y
_atom_site_fract_z
_atom_site_occupancy
Ce1 0.0000 0.0000 0.2069 1
Ho1 0.0000 0.0000 0.0000 1
Fe1 0.0000 0.0000 0.4055 1
N1 0.0079 0.5040 0.7648 1
```

***

VASP calculation (PBE-GGA) on an optimized crystal structure of CsCaHf2Se.

Structure (CIF):
```
data_CsCaHf2Se
_space_group_name_H-M_alt 'P 4/m m m'
_space_group_IT_number 123
_space_group_name_Hall '-P 4 2'
_cell_length_a 5.3634
_cell_length_b 5.3634
_cell_length_c 6.1050
_cell_angle_alpha 90.00
_cell_angle_beta 90.00
_cell_angle_gamma 90.00
loop_
_atom_site_label
_atom_site_fract_x
_atom_site_fract_y
_atom_site_fract_z
_atom_site_occupancy
Cs1 0.0000 0.0000 0.0000 1
Ca1 0.0000 0.0000 0.5000 1
Hf1 0.0000 0.5000 0.5000 1
Se1 0.5000 0.5000 0.0000 1
```

***

VASP calculation (PBE-GGA) on an optimized crystal structure of Pu2TaCo.

Structure (CIF):
```
data_Pu2TaCo
_space_group_name_H-M_alt 'R -3 m'
_space_group_IT_number 166
_space_group_name_Hall '-R 3 2"'
_cell_length_a 2.8691
_cell_length_b 2.8691
_cell_length_c 31.5963
_cell_angle_alpha 90.00
_cell_angle_beta 90.00
_cell_angle_gamma 120.00
loop_
_atom_site_label
_atom_site_fract_x
_atom_site_fract_y
_atom_site_fract_z
_atom_site_occupancy
Pu1 0.0000 0.0000 0.0940 1
Ta1 0.0000 0.0000 0.0000 1
Co1 0.0000 0.0000 0.5000 1
```

* formation energy from the elements: 588 meV per atom

***

VASP calculation (PBE-GGA) on an optimized crystal structure of ScIr4Br.

Structure (CIF):
```
data_ScIr4Br
_space_group_name_H-M_alt 'F -4 3 m'
_space_group_IT_number 216
_space_group_name_Hall 'F -4 2 3'
_cell_length_a 7.4869
_cell_length_b 7.4869
_cell_length_c 7.4869
_cell_angle_alpha 90.00
_cell_angle_beta 90.00
_cell_angle_gamma 90.00
loop_
_atom_site_label
_atom_site_fract_x
_atom_site_fract_y
_atom_site_fract_z
_atom_site_occupancy
Sc1 0.0000 0.0000 0.0000 1
Ir1 0.1255 0.1255 0.3745 1
Br1 0.2500 0.2500 0.7500 1
```

***

Total DFT energy (no corrections)? In order: -5.07; -4.99; -4.55; -1.02; -6.69; -4.24; -6.81; -1.64; -8.19; -3.66; -11.32; -6.98 eV/atom.
D(E_F)? In order: 0.000; 0.742; 0.520; 0.550; 0.564; 0.643; 0.339; 0.641; 0.669; 0.918; 2.440; 1.994 states/eV per atom.
Mass density? In order: 3.26; 5.65; 11.28; 9.41; 11.37; 7.21; 7.47; 11.75; 6.81; 5.76; 16.10; 14.15 g cm⁻³.